The following is a DFT calculation (PBE) of a relaxed CaAs2Pt crystal.

a = 4.398 Å, b = 4.480 Å, c = 4.698 Å
α = 82.79°, β = 90.00°, γ = 90.00°
Fractional coordinates of all 4 atoms:
As: 0.000 0.891 0.999
As: 0.500 0.149 0.227
Ca: 0.000 0.491 0.542
Pt: 0.500 0.968 0.732

## Properties
magnetic moment = 0.000 μB per atom
crystal system = monoclinic
raw total energy = -4.929 eV/atom
formation energy from the elements = -594 meV per atom